# ThVSi2

An optimized crystal structure of ThVSi2 (GGA-PBE, Alexandria via LeMat-Bulk).

Lattice parameters (Å, degrees): 3.848 7.603 10.267 90.00 90.00 90.00
Fractional positions:
1 V 0.750 0.491 0.901
2 V 0.250 0.509 0.099
3 V 0.750 0.991 0.599
4 V 0.250 0.009 0.401
5 Si 0.250 0.779 0.568
6 Si 0.250 0.332 0.311
7 Si 0.250 0.832 0.189
8 Si 0.750 0.668 0.689
9 Si 0.750 0.168 0.811
10 Si 0.750 0.221 0.432
11 Si 0.250 0.279 0.932
12 Si 0.750 0.721 0.068
13 Th 0.750 0.636 0.368
14 Th 0.250 0.364 0.632
15 Th 0.250 0.864 0.868
16 Th 0.750 0.136 0.132

Results
**DFT total energy**: -7.450 eV per atom
**Raw formation energy**: -58 kJ per mole of atoms
**Space group**: Pnma